Material: NaCd2Sn
Method: DFT, PBE
State: optimized geometry

Computed properties:
E_form in eV per atom: -0.04
Calculated total energy in eV per atom: -1.83
V in Å³ per cell: 293.81

The structure in CIF format:
```
data_NaCd2Sn
_chemical_formula_sum 'Na3 Cd6 Sn3'
_cell_length_a 5.1781
_cell_length_b 5.1781
_cell_length_c 12.6530
_cell_angle_alpha 90.00
_cell_angle_beta 90.00
_cell_angle_gamma 120.00
_symmetry_space_group_name_H-M 'R 3 m'
_symmetry_Int_Tables_number 160
_symmetry_space_group_name_Hall 'R 3 -2"'
loop_
_atom_site_label
_atom_site_type_symbol
_atom_site_fract_x
_atom_site_fract_y
_atom_site_fract_z
Na1 Na 0.0000 0.0000 0.0000
Cd1 Cd 0.0000 0.0000 0.2498
Cd2 Cd 0.0000 0.0000 0.4997
Sn1 Sn 0.0000 0.0000 0.7498
```

=====

Material: NaSr2Cd3Sn4
Method: DFT, PBE
State: optimized geometry

Computed properties:
E_form in eV per atom: -0.33
Calculated total energy in eV per atom: -2.67
V in Å³ per cell: 294.02

The structure in CIF format:
```
data_NaSr2Cd3Sn4
_chemical_formula_sum 'Na1 Sr2 Cd3 Sn4'
_cell_length_a 4.7965
_cell_length_b 4.7965
_cell_length_c 12.7801
_cell_angle_alpha 90.00
_cell_angle_beta 90.00
_cell_angle_gamma 90.00
_symmetry_space_group_name_H-M 'P -4 m 2'
_symmetry_Int_Tables_number 115
_symmetry_space_group_name_Hall 'P -4 -2'
loop_
_atom_site_label
_atom_site_type_symbol
_atom_site_fract_x
_atom_site_fract_y
_atom_site_fract_z
Na1 Na 0.0000 0.0000 0.0000
Sr1 Sr 0.0000 0.5000 0.7514
Cd1 Cd 0.0000 0.5000 0.3591
Cd2 Cd 0.5000 0.5000 0.0000
Sn1 Sn 0.0000 0.0000 0.5000
Sn2 Sn 0.0000 0.5000 0.1418
Sn3 Sn 0.5000 0.5000 0.5000
```

=====

Material: NaSr2Cd4Sn3
Method: DFT, PBE
State: optimized geometry

Computed properties:
E_form in eV per atom: -0.32
Calculated total energy in eV per atom: -2.35
V in Å³ per cell: 288.20

The structure in CIF format:
```
data_NaSr2Cd4Sn3
_chemical_formula_sum 'Na1 Sr2 Cd4 Sn3'
_cell_length_a 4.7519
_cell_length_b 4.7519
_cell_length_c 12.7635
_cell_angle_alpha 90.00
_cell_angle_beta 90.00
_cell_angle_gamma 90.00
_symmetry_space_group_name_H-M 'P -4 m 2'
_symmetry_Int_Tables_number 115
_symmetry_space_group_name_Hall 'P -4 -2'
loop_
_atom_site_label
_atom_site_type_symbol
_atom_site_fract_x
_atom_site_fract_y
_atom_site_fract_z
Na1 Na 0.0000 0.0000 0.0000
Sr1 Sr 0.0000 0.5000 0.7372
Cd1 Cd 0.0000 0.0000 0.5000
Cd2 Cd 0.0000 0.5000 0.1386
Cd3 Cd 0.5000 0.5000 0.5000
Sn1 Sn 0.0000 0.5000 0.3597
Sn2 Sn 0.5000 0.5000 0.0000
```

=====

Material: Na2TbCdSn2
Method: DFT, PBE
State: optimized geometry

Computed properties:
E_form in eV per atom: -0.34
Calculated total energy in eV per atom: -3.04
V in Å³ per cell: 331.28

The structure in CIF format:
```
data_Na2TbCdSn2
_chemical_formula_sum 'Na4 Tb2 Cd2 Sn4'
_cell_length_a 4.8358
_cell_length_b 9.1513
_cell_length_c 7.4860
_cell_angle_alpha 90.00
_cell_angle_beta 90.00
_cell_angle_gamma 90.00
_symmetry_space_group_name_H-M 'P m c 21'
_symmetry_Int_Tables_number 26
_symmetry_space_group_name_Hall 'P 2c -2'
loop_
_atom_site_label
_atom_site_type_symbol
_atom_site_fract_x
_atom_site_fract_y
_atom_site_fract_z
Na1 Na 0.0000 0.0686 0.0000
Na2 Na 0.5000 0.1636 0.2990
Tb1 Tb 0.5000 0.4694 0.9638
Cd1 Cd 0.0000 0.3073 0.6166
Sn1 Sn 0.0000 0.3839 0.2307
Sn2 Sn 0.5000 0.1754 0.7367
```

=====

Material: NaCd2TcSn
Method: DFT, PBE
State: optimized geometry

Computed properties:
E_form in eV per atom: 0.94
Calculated total energy in eV per atom: -2.57
V in Å³ per cell: 147.54

The structure in CIF format:
```
data_NaCd2TcSn
_chemical_formula_sum 'Na1 Cd2 Tc1 Sn1'
_cell_length_a 5.2540
_cell_length_b 5.2540
_cell_length_c 5.3449
_cell_angle_alpha 90.00
_cell_angle_beta 90.00
_cell_angle_gamma 90.00
_symmetry_space_group_name_H-M 'P 4/m m m'
_symmetry_Int_Tables_number 123
_symmetry_space_group_name_Hall '-P 4 2'
loop_
_atom_site_label
_atom_site_type_symbol
_atom_site_fract_x
_atom_site_fract_y
_atom_site_fract_z
Na1 Na 0.0000 0.0000 0.0000
Cd1 Cd 0.0000 0.5000 0.5000
Tc1 Tc 0.0000 0.0000 0.5000
Sn1 Sn 0.5000 0.5000 0.0000
```

=====

Material: Na2CdSnTe4
Method: DFT, PBE
State: optimized geometry

Computed properties:
Raw formation energy in eV per atom: -0.47
Calculated total energy in eV per atom: -2.98
V in Å³ per cell: 247.42

The structure in CIF format:
```
data_Na2CdSnTe4
_chemical_formula_sum 'Na2 Cd1 Sn1 Te4'
_cell_length_a 7.5801
_cell_length_b 4.2384
_cell_length_c 8.0810
_cell_angle_alpha 90.00
_cell_angle_beta 107.64
_cell_angle_gamma 90.00
_symmetry_space_group_name_H-M 'P 1 2/m 1'
_symmetry_Int_Tables_number 10
_symmetry_space_group_name_Hall '-P 2y'
loop_
_atom_site_label
_atom_site_type_symbol
_atom_site_fract_x
_atom_site_fract_y
_atom_site_fract_z
Na1 Na 0.0000 0.0000 0.0000
Na2 Na 0.5000 0.5000 0.0000
Cd1 Cd 0.0000 0.5000 0.5000
Sn1 Sn 0.5000 0.0000 0.5000
Te1 Te 0.2412 0.0000 0.7191
Te2 Te 0.2643 0.5000 0.2717
```